(1)
Entry from Alexandria: Al2AgPd after structural relaxation (PBE).

VASP energy in eV per atom: -4.3328
Size of the total moment in μB per cell: 0.0
Energy of formation in eV per formula unit: -1.80

a = 3.0610 Å, b = 3.0610 Å, c = 6.6428 Å
α = 90.00°, β = 90.00°, γ = 90.00°
With the nearest neighbours (Å) after each atom.
Space group P4/mmm (No. 123)
Inequivalent atoms, fractional coordinates:
Al 0.0000 0.0000 0.2296 x2  4 Pd 2.65, 4 Ag 2.81
Ag 0.5000 0.5000 0.5000 x1  8 Al 2.81, 4 Ag 3.06
Pd 0.5000 0.5000 0.0000 x1  8 Al 2.65

=====

(2)
Entry from Alexandria: AlAgPd2 after structural relaxation (PBE).

VASP energy in eV per atom: -4.5978
Size of the total moment in μB per cell: 0.0
Energy of formation in eV per formula unit: -1.41

a = 4.2450 Å, b = 4.2450 Å, c = 13.1224 Å
α = 90.00°, β = 90.00°, γ = 120.00°
With the nearest neighbours (Å) after each atom.
Space group R3m (No. 160, hexagonal axes)
Inequivalent atoms, fractional coordinates:
Al 0.0000 0.0000 0.0000 x3  6 Pd 2.47-2.69, 1 Ag 2.63
Ag 0.0000 0.0000 0.7998 x3  1 Al 2.63, 7 Pd 2.83-2.88
Pd 0.0000 0.0000 0.3588 x3  3 Al 2.47
Pd 0.0000 0.0000 0.5821 x3  3 Al 2.69, 4 Pd 2.84-2.93, 4 Ag 2.86-2.88

=====

(3)
Entry from Alexandria: AlAg2Pd2 after structural relaxation (PBE).

VASP energy in eV per atom: -4.4428
Size of the total moment in μB per cell: 0.0
Energy of formation in eV per formula unit: -2.38

a = 2.9419 Å, b = 2.9419 Å, c = 18.4666 Å
α = 90.00°, β = 90.00°, γ = 90.00°
With the nearest neighbours (Å) after each atom.
Space group I4/mmm (No. 139)
Inequivalent atoms, fractional coordinates:
Al 0.0000 0.0000 0.0000 x2  8 Pd 2.59
Ag 0.0000 0.0000 0.1941 x4  4 Pd 2.91, 8 Ag 2.93-2.94
Pd 0.0000 0.0000 0.4164 x4  4 Al 2.59

=====

(4)
Entry from Alexandria: Al2AgPd after structural relaxation (PBE).

VASP energy in eV per atom: -4.3128
Size of the total moment in μB per cell: 0.0
Energy of formation in eV per formula unit: -1.72

a = 2.9153 Å, b = 4.3077 Å, c = 10.3696 Å
α = 90.00°, β = 97.34°, γ = 90.00°
With the nearest neighbours (Å) after each atom.
Space group P2_1/m (No. 11)
Inequivalent atoms, fractional coordinates:
Al 0.0539 0.2500 0.1207 x2  6 Pd 2.61-2.72, 2 Al 2.92
Al 0.1462 0.7500 0.3144 x2  2 Pd 2.61-2.63, 5 Ag 2.79-2.81, 2 Al 2.92
Ag 0.3020 0.7500 0.5854 x2  5 Al 2.79-2.81, 4 Ag 2.92-3.10
Pd 0.4539 0.2500 0.8974 x2  8 Al 2.61-2.72, 2 Pd 2.92

=====

(5)
Entry from Alexandria: Al2AgPd after structural relaxation (PBE).

VASP energy in eV per atom: -3.9594
Size of the total moment in μB per cell: 0.0
Energy of formation in eV per formula unit: -0.31

a = 7.1920 Å, b = 7.1920 Å, c = 5.4787 Å
α = 90.00°, β = 90.00°, γ = 90.00°
With the nearest neighbours (Å) after each atom.
Space group I-42d (No. 122)
Inequivalent atoms, fractional coordinates:
Al 0.2252 0.2500 0.1250 x8  2 Pd 2.52, 2 Ag 2.76, 2 Al 2.76
Ag 0.0000 0.0000 0.5000 x4  2 Pd 2.74, 4 Al 2.76
Pd 0.0000 0.0000 0.0000 x4  4 Al 2.52, 2 Ag 2.74

=====

(6)
Entry from Alexandria: Al2AgPd2 after structural relaxation (PBE).

VASP energy in eV per atom: -4.7928
Size of the total moment in μB per cell: 0.0
Energy of formation in eV per formula unit: -3.24

a = 7.2940 Å, b = 7.2940 Å, c = 2.9356 Å
α = 90.00°, β = 90.00°, γ = 90.00°
With the nearest neighbours (Å) after each atom.
Space group P4/mbm (No. 127)
Inequivalent atoms, fractional coordinates:
Al 0.1435 0.3565 0.0000 x4  6 Pd 2.58-2.60, 2 Ag 2.80
Ag 0.0000 0.0000 0.0000 x2  4 Al 2.80, 2 Ag 2.94, 8 Pd 3.14
Pd 0.1509 0.6509 0.5000 x4  6 Al 2.58-2.60

=====

(7)
Entry from Alexandria: AlAgPd5 after structural relaxation (PBE).

VASP energy in eV per atom: -4.9369
Size of the total moment in μB per cell: 0.0
Energy of formation in eV per formula unit: -2.00

a = 4.0367 Å, b = 4.0367 Å, c = 6.9798 Å
α = 90.00°, β = 90.00°, γ = 90.00°
With the nearest neighbours (Å) after each atom.
Space group P4/mmm (No. 123)
Inequivalent atoms, fractional coordinates:
Al 0.0000 0.0000 0.0000 x1  8 Pd 2.50
Ag 0.5000 0.5000 0.5000 x1  12 Pd 2.85
Pd 0.0000 0.0000 0.5000 x1  8 Pd 2.85, 4 Ag 2.85
Pd 0.0000 0.5000 0.2111 x4  2 Al 2.50

=====

(8)
Entry from Alexandria: Al2Ag2Pd after structural relaxation (PBE).

VASP energy in eV per atom: -3.8611
Size of the total moment in μB per cell: 0.0
Energy of formation in eV per formula unit: -0.93

a = 6.8962 Å, b = 6.8962 Å, c = 3.4898 Å
α = 90.00°, β = 90.00°, γ = 90.00°
With the nearest neighbours (Å) after each atom.
Space group P4/mbm (No. 127)
Inequivalent atoms, fractional coordinates:
Al 0.1472 0.3528 0.0000 x4  6 Ag 2.62-2.70, 2 Pd 2.64, 1 Al 2.87
Ag 0.1523 0.6523 0.5000 x4  6 Al 2.62-2.70
Pd 0.0000 0.0000 0.0000 x2  4 Al 2.64

=====

(9)
Entry from Alexandria: Al2AgPd2 after structural relaxation (PBE).

VASP energy in eV per atom: -4.7726
Size of the total moment in μB per cell: 0.0
Energy of formation in eV per formula unit: -3.14

a = 7.4038 Å, b = 7.4038 Å, c = 2.8686 Å
α = 90.00°, β = 90.00°, γ = 90.00°
With the nearest neighbours (Å) after each atom.
Space group P4/mbm (No. 127)
Inequivalent atoms, fractional coordinates:
Al 0.1566 0.3434 0.0000 x4  6 Pd 2.57-2.62, 2 Al 2.87
Ag 0.0000 0.0000 0.5000 x2  4 Pd 2.86, 2 Ag 2.87, 8 Al 3.14
Pd 0.1398 0.6398 0.5000 x4  6 Al 2.57-2.62, 2 Ag 2.86, 2 Pd 2.87

=====

(10)
Entry from Alexandria: AlAgPd2 after structural relaxation (PBE).

VASP energy in eV per atom: -4.7459
Size of the total moment in μB per cell: 0.0
Energy of formation in eV per formula unit: -2.00

a = 4.0935 Å, b = 4.0935 Å, c = 3.7000 Å
α = 90.00°, β = 90.00°, γ = 90.00°
With the nearest neighbours (Å) after each atom.
Space group P4/mmm (No. 123)
Inequivalent atoms, fractional coordinates:
Al 0.0000 0.0000 0.0000 x1  8 Pd 2.76, 4 Ag 2.89
Ag 0.5000 0.5000 0.0000 x1  8 Pd 2.76, 4 Al 2.89
Pd 0.0000 0.5000 0.5000 x2  4 Al 2.76, 4 Ag 2.76, 4 Pd 2.89

=====

(11)
Entry from Alexandria: AlAgPd2 after structural relaxation (PBE).

VASP energy in eV per atom: -4.8408
Size of the total moment in μB per cell: 0.0
Energy of formation in eV per formula unit: -2.38

a = 2.9470 Å, b = 2.9470 Å, c = 7.1466 Å
α = 90.00°, β = 90.00°, γ = 90.00°
With the nearest neighbours (Å) after each atom.
Space group P4/mmm (No. 123)
Inequivalent atoms, fractional coordinates:
Al 0.0000 0.0000 0.0000 x1  8 Pd 2.59
Ag 0.0000 0.0000 0.5000 x1  8 Pd 2.91, 4 Ag 2.95
Pd 0.5000 0.5000 0.2155 x2  4 Al 2.59

=====

(12)
Entry from Alexandria: Al2AgPd after structural relaxation (PBE).

VASP energy in eV per atom: -4.2538
Size of the total moment in μB per cell: 0.0
Energy of formation in eV per formula unit: -1.49

a = 2.9373 Å, b = 2.9373 Å, c = 25.6194 Å
α = 90.00°, β = 90.00°, γ = 120.00°
With the nearest neighbours (Å) after each atom.
Space group R-3m (No. 166, hexagonal axes)
Inequivalent atoms, fractional coordinates:
Al 0.0000 0.0000 0.2451 x6  3 Pd 2.63, 3 Ag 2.82, 6 Al 2.94
Ag 0.0000 0.0000 0.0000 x3  6 Al 2.82, 6 Ag 2.94
Pd 0.0000 0.0000 0.5000 x3  6 Al 2.63, 6 Pd 2.94